[1]
Material: K2AgSn2
Method: DFT, PBE-GGA
State: relaxed

Values from the calculation:
Energy above the lowest structure with this stoichiometry in eV/atom: 0.405
Raw total energy in eV per cell: -23.0
Energy relative to the elements in eV per atom: 0.3115

Cell lengths 4.5859, 4.5859, 15.7285 Å; angles 90.00, 90.00, 90.00 degrees
Space group I4/mmm (No. 139)
Unique sites:
K: 0.0000 0.5000 0.2500 (multiplicity 4)
Ag: 0.0000 0.0000 0.0000 (multiplicity 2)
Sn: 0.0000 0.0000 0.4147 (multiplicity 4)

[2]
Material: K4Ag2Sn
Method: DFT, PBE-GGA
State: relaxed

Values from the calculation:
Raw total energy in eV per cell: -25.2
Energy relative to the elements in eV per atom: 0.2116

Cell lengths 6.8236, 6.8236, 16.3165 Å; angles 90.00, 90.00, 90.00 degrees
Space group I4/mmm (No. 139)
Unique sites:
K: 0.0000 0.0000 0.2107 (multiplicity 4)
K: 0.0000 0.5000 0.0000 (multiplicity 4)
Ag: 0.0000 0.0000 0.4140 (multiplicity 4)
Sn: 0.0000 0.0000 0.0000 (multiplicity 2)

[3]
Material: K2Ag5Sn3
Method: DFT, PBE-GGA
State: relaxed

Values from the calculation:
Raw total energy in eV per cell: -116.5
Energy relative to the elements in eV per atom: -0.0672

Cell lengths 11.1953, 14.2613, 6.5747 Å; angles 90.00, 90.00, 90.00 degrees
Space group Ibam (No. 72)
Unique sites:
K: 0.2340 0.1342 0.0000 (multiplicity 8)
Ag: 0.0000 0.0000 0.2500 (multiplicity 4)
Ag: 0.0000 0.2947 0.2500 (multiplicity 8)
Ag: 0.1695 0.3997 0.0000 (multiplicity 8)
Sn: 0.0000 0.5000 0.2500 (multiplicity 4)
Sn: 0.0888 0.1474 0.5000 (multiplicity 8)

[4]
Material: KAg2Sn
Method: DFT, PBE-GGA
State: relaxed

Values from the calculation:
Raw total energy in eV per cell: -42.1
Energy relative to the elements in eV per atom: 0.0717

Cell lengths 5.5139, 5.5139, 18.6989 Å; angles 90.00, 90.00, 90.00 degrees
Space group I4_1/amd (No. 141, origin choice 2)
Unique sites:
K: 0.0000 0.2500 0.3750 (multiplicity 4)
Ag: 0.0000 0.0000 0.0000 (multiplicity 8)
Sn: 0.0000 0.2500 0.8750 (multiplicity 4)

[5]
Material: K2Ag5Sn4
Method: DFT, PBE-GGA
State: relaxed

Values from the calculation:
Raw total energy in eV per cell: -132.7
Energy relative to the elements in eV per atom: -0.0641

Cell lengths 5.8599, 11.2562, 18.3527 Å; angles 90.00, 90.00, 90.00 degrees
Space group Fmmm (No. 69)
Unique sites:
K: 0.0000 0.0000 0.1492 (multiplicity 8)
Ag: 0.0000 0.0000 0.5000 (multiplicity 4)
Ag: 0.2500 0.2500 0.0000 (multiplicity 8)
Ag: 0.2500 0.2500 0.2500 (multiplicity 8)
Sn: 0.0000 0.1692 0.3763 (multiplicity 16)

[6]
Material: KAg2Sn
Method: DFT, PBE-GGA
State: relaxed

Values from the calculation:
Raw total energy in eV per cell: -33.3
Energy relative to the elements in eV per atom: -0.0749

Cell lengths 4.8660, 4.8660, 18.0170 Å; angles 90.00, 90.00, 120.00 degrees
Space group R-3m (No. 166, hexagonal axes)
Unique sites:
K: 0.0000 0.0000 0.0000 (multiplicity 3)
Ag: 0.0000 0.0000 0.1870 (multiplicity 6)
Sn: 0.0000 0.0000 0.5000 (multiplicity 3)

[7]
Material: KAg7Sn12
Method: DFT, PBE-GGA
State: relaxed

Values from the calculation:
Raw total energy in eV per cell: -135.6
Energy relative to the elements in eV per atom: 0.0639

Cell lengths 10.6475, 10.6475, 10.6475 Å; angles 90.00, 90.00, 90.00 degrees
Space group Im-3 (No. 204)
Unique sites:
K: 0.0000 0.0000 0.0000 (multiplicity 2)
Ag: 0.0000 0.0000 0.5000 (multiplicity 6)
Ag: 0.2500 0.2500 0.2500 (multiplicity 8)
Sn: 0.0000 0.2506 0.3564 (multiplicity 24)

[8]
Material: KAg5Sn7
Method: DFT, PBE-GGA
State: relaxed

Values from the calculation:
Raw total energy in eV per cell: -87.2
Energy relative to the elements in eV per atom: -0.0190

Cell lengths 6.0419, 10.3216, 10.2021 Å; angles 90.00, 90.00, 90.00 degrees
Space group Imm2 (No. 44)
Unique sites:
K: 0.0000 0.0000 0.0000 (multiplicity 2)
Ag: 0.0000 0.5000 0.7235 (multiplicity 2)
Ag: 0.2496 0.2446 0.2496 (multiplicity 8)
Sn: 0.0000 0.0000 0.3468 (multiplicity 2)
Sn: 0.0000 0.0000 0.6496 (multiplicity 2)
Sn: 0.0000 0.2989 0.5054 (multiplicity 4)
Sn: 0.0000 0.3470 0.9929 (multiplicity 4)
Sn: 0.0000 0.5000 0.2741 (multiplicity 2)

[9]
Material: KAg3Sn
Method: DFT, PBE-GGA
State: relaxed

Values from the calculation:
Energy above the lowest structure with this stoichiometry in eV/atom: 1.073
Raw total energy in eV per cell: -8.4
Energy relative to the elements in eV per atom: 1.0604

Cell lengths 5.4543, 5.4543, 5.4543 Å; angles 90.00, 90.00, 90.00 degrees
Space group Pm-3m (No. 221)
Unique sites:
K: 0.0000 0.0000 0.0000 (multiplicity 1)
Ag: 0.0000 0.0000 0.5000 (multiplicity 3)
Sn: 0.5000 0.5000 0.5000 (multiplicity 1)

[10]
Material: KAg4Sn12
Method: DFT, PBE-GGA
State: relaxed

Values from the calculation:
Raw total energy in eV per cell: -119.8
Energy relative to the elements in eV per atom: 0.0383

Cell lengths 9.8091, 9.8091, 9.8091 Å; angles 90.00, 90.00, 90.00 degrees
Space group Im-3 (No. 204)
Unique sites:
K: 0.0000 0.0000 0.0000 (multiplicity 2)
Ag: 0.2500 0.2500 0.2500 (multiplicity 8)
Sn: 0.0000 0.3518 0.1557 (multiplicity 24)

Calculated theoretical density in order - 4.25; 2.15; 6.16; 4.36; 5.99; 5.04; 6.10; 7.36; 4.93; 6.67 g cm⁻³